Version w
DyAgNO | GGA-PBE | relaxed

SG: No. 29
theoretical density: 8.24 g cm⁻³

CIF file:
```
data_DyAgNO
_chemical_formula_sum 'Dy4 Ag4 N4 O4'
_symmetry_space_group_name_H-M 'P 1'
_symmetry_Int_Tables_number 1
_cell_length_a 5.628
_cell_length_b 7.703
_cell_length_c 5.584
_cell_angle_alpha 90.00
_cell_angle_beta 90.00
_cell_angle_gamma 90.00
loop_
_symmetry_equiv_pos_as_xyz
'x,y,z'
loop_
_atom_site_label
_atom_site_fract_x
_atom_site_fract_y
_atom_site_fract_z
Dy1 0.046 0.131 0.000
Dy2 0.454 0.131 0.500
Dy3 0.546 0.869 0.000
Dy4 0.954 0.869 0.500
Ag1 0.059 0.470 0.627
Ag2 0.441 0.470 0.127
Ag3 0.559 0.530 0.627
Ag4 0.941 0.530 0.127
N1 0.154 0.331 0.305
N2 0.346 0.331 0.805
N3 0.654 0.669 0.305
N4 0.846 0.669 0.805
O1 0.246 0.958 0.244
O2 0.254 0.958 0.744
O3 0.746 0.042 0.244
O4 0.754 0.042 0.744
```

Version x
DyAgNO | GGA-PBE | relaxed

SG: No. 29
theoretical density: 8.24 g cm⁻³

CIF file:
```
data_DyAgNO
_chemical_formula_sum 'Dy4 Ag4 N4 O4'
_symmetry_space_group_name_H-M 'P 1'
_symmetry_Int_Tables_number 1
_cell_length_a 7.109
_cell_length_b 7.073
_cell_length_c 4.813
_cell_angle_alpha 90.00
_cell_angle_beta 90.00
_cell_angle_gamma 90.00
loop_
_symmetry_equiv_pos_as_xyz
'x,y,z'
loop_
_atom_site_label
_atom_site_fract_x
_atom_site_fract_y
_atom_site_fract_z
Dy1 0.081 0.155 0.000
Dy2 0.419 0.155 0.500
Dy3 0.581 0.845 0.000
Dy4 0.919 0.845 0.500
Ag1 0.121 0.676 0.001
Ag2 0.379 0.676 0.501
Ag3 0.621 0.324 0.001
Ag4 0.879 0.324 0.501
N1 0.099 0.118 0.500
N2 0.401 0.118 0.000
N3 0.599 0.882 0.500
N4 0.901 0.882 0.000
O1 0.092 0.590 0.503
O2 0.408 0.590 0.003
O3 0.592 0.410 0.503
O4 0.908 0.410 0.003
```

Tell me which of them is the least stable. Sure, it is version x.

Version w
TmAlSiPt | GGA-PBE | relaxed

SG: No. 12
theoretical density: 8.83 g cm⁻³

CIF file:
```
data_TmAlSiPt
_chemical_formula_sum 'Tm4 Al4 Si4 Pt4'
_symmetry_space_group_name_H-M 'P 1'
_symmetry_Int_Tables_number 1
_cell_length_a 10.933
_cell_length_b 5.357
_cell_length_c 6.762
_cell_angle_alpha 90.00
_cell_angle_beta 127.23
_cell_angle_gamma 90.00
loop_
_symmetry_equiv_pos_as_xyz
'x,y,z'
loop_
_atom_site_label
_atom_site_fract_x
_atom_site_fract_y
_atom_site_fract_z
Tm1 0.078 0.000 0.325
Tm2 0.422 0.500 0.675
Tm3 0.578 0.500 0.325
Tm4 0.922 0.000 0.675
Al1 0.230 0.500 0.136
Al2 0.270 0.000 0.864
Al3 0.730 0.000 0.136
Al4 0.770 0.500 0.864
Si1 0.160 0.500 0.690
Si2 0.340 0.000 0.310
Si3 0.660 0.000 0.690
Si4 0.840 0.500 0.310
Pt1 0.042 0.500 0.244
Pt2 0.458 0.000 0.756
Pt3 0.542 0.000 0.244
Pt4 0.958 0.500 0.756
```

Version x
TmAlSiPt | GGA-PBE | relaxed

SG: No. 35
theoretical density: 6.70 g cm⁻³

CIF file:
```
data_TmAlSiPt
_chemical_formula_sum 'Tm4 Al4 Si4 Pt4'
_symmetry_space_group_name_H-M 'P 1'
_symmetry_Int_Tables_number 1
_cell_length_a 5.123
_cell_length_b 11.949
_cell_length_c 6.783
_cell_angle_alpha 90.00
_cell_angle_beta 90.00
_cell_angle_gamma 90.00
loop_
_symmetry_equiv_pos_as_xyz
'x,y,z'
loop_
_atom_site_label
_atom_site_fract_x
_atom_site_fract_y
_atom_site_fract_z
Tm1 0.000 0.159 0.000
Tm2 0.000 0.841 0.000
Tm3 0.500 0.341 0.000
Tm4 0.500 0.659 0.000
Al1 0.000 0.300 0.540
Al2 0.000 0.700 0.540
Al3 0.500 0.200 0.540
Al4 0.500 0.800 0.540
Si1 0.000 0.402 0.226
Si2 0.000 0.598 0.226
Si3 0.500 0.098 0.226
Si4 0.500 0.902 0.226
Pt1 0.000 0.384 0.867
Pt2 0.000 0.616 0.867
Pt3 0.500 0.116 0.867
Pt4 0.500 0.884 0.867
```

Tell me which of them is the least stable. Sure, it is version x.

Version w
ZrO3 | GGA-PBE | relaxed

SG: No. 1
theoretical density: 4.40 g cm⁻³

CIF file:
```
data_ZrO3
_chemical_formula_sum 'Zr4 O12'
_symmetry_space_group_name_H-M 'P 1'
_symmetry_Int_Tables_number 1
_cell_length_a 6.065
_cell_length_b 6.283
_cell_length_c 6.381
_cell_angle_alpha 63.47
_cell_angle_beta 75.04
_cell_angle_gamma 84.05
loop_
_symmetry_equiv_pos_as_xyz
'x,y,z'
loop_
_atom_site_label
_atom_site_fract_x
_atom_site_fract_y
_atom_site_fract_z
Zr1 0.000 0.000 0.000
Zr2 0.004 0.372 0.454
Zr3 0.454 0.034 0.627
Zr4 0.682 0.451 0.082
O1 0.096 0.020 0.662
O2 0.208 0.690 0.441
O3 0.328 0.052 0.943
O4 0.344 0.650 0.571
O5 0.347 0.362 0.286
O6 0.591 0.727 0.823
O7 0.650 0.013 0.266
O8 0.666 0.315 0.488
O9 0.842 0.958 0.389
O10 0.883 0.343 0.808
O11 0.925 0.641 0.130
O12 0.989 0.170 0.240
```

Version x
ZrO3 | GGA-PBE | relaxed

SG: No. 5
theoretical density: 4.91 g cm⁻³

CIF file:
```
data_ZrO3
_chemical_formula_sum 'Zr4 O12'
_symmetry_space_group_name_H-M 'P 1'
_symmetry_Int_Tables_number 1
_cell_length_a 6.503
_cell_length_b 6.503
_cell_length_c 6.027
_cell_angle_alpha 95.47
_cell_angle_beta 95.47
_cell_angle_gamma 130.59
loop_
_symmetry_equiv_pos_as_xyz
'x,y,z'
loop_
_atom_site_label
_atom_site_fract_x
_atom_site_fract_y
_atom_site_fract_z
Zr1 0.000 0.000 0.000
Zr2 0.143 0.857 0.500
Zr3 0.714 0.286 0.000
Zr4 0.872 0.128 0.500
O1 0.163 0.148 0.363
O2 0.270 0.605 0.590
O3 0.305 0.012 0.861
O4 0.395 0.730 0.410
O5 0.439 0.460 0.090
O6 0.540 0.561 0.910
O7 0.605 0.242 0.586
O8 0.723 0.025 0.149
O9 0.758 0.395 0.414
O10 0.852 0.837 0.637
O11 0.975 0.277 0.851
O12 0.988 0.695 0.139
```

Tell me which of them is the least stable. Sure, it is version w.

Version w
NiGe2Pd | GGA-PBE | relaxed

SG: No. 216
theoretical density: 8.48 g cm⁻³

CIF file:
```
data_NiGe2Pd
_chemical_formula_sum 'Ni4 Ge8 Pd4'
_symmetry_space_group_name_H-M 'P 1'
_symmetry_Int_Tables_number 1
_cell_length_a 6.240
_cell_length_b 6.240
_cell_length_c 6.240
_cell_angle_alpha 90.00
_cell_angle_beta 90.00
_cell_angle_gamma 90.00
loop_
_symmetry_equiv_pos_as_xyz
'x,y,z'
loop_
_atom_site_label
_atom_site_fract_x
_atom_site_fract_y
_atom_site_fract_z
Ni1 0.000 0.000 0.000
Ni2 0.000 0.500 0.500
Ni3 0.500 0.000 0.500
Ni4 0.500 0.500 0.000
Ge1 0.000 0.000 0.500
Ge2 0.000 0.500 0.000
Ge3 0.250 0.250 0.750
Ge4 0.250 0.750 0.250
Ge5 0.500 0.000 0.000
Ge6 0.500 0.500 0.500
Ge7 0.750 0.250 0.250
Ge8 0.750 0.750 0.750
Pd1 0.250 0.250 0.250
Pd2 0.250 0.750 0.750
Pd3 0.750 0.250 0.750
Pd4 0.750 0.750 0.250
```

Version x
NiGe2Pd | GGA-PBE | relaxed

SG: No. 11
theoretical density: 8.51 g cm⁻³

CIF file:
```
data_NiGe2Pd
_chemical_formula_sum 'Ni2 Ge4 Pd2'
_symmetry_space_group_name_H-M 'P 1'
_symmetry_Int_Tables_number 1
_cell_length_a 5.700
_cell_length_b 3.444
_cell_length_c 6.175
_cell_angle_alpha 90.00
_cell_angle_beta 90.40
_cell_angle_gamma 90.00
loop_
_symmetry_equiv_pos_as_xyz
'x,y,z'
loop_
_atom_site_label
_atom_site_fract_x
_atom_site_fract_y
_atom_site_fract_z
Ni1 0.006 0.250 0.309
Ni2 0.994 0.750 0.691
Ge1 0.173 0.250 0.918
Ge2 0.290 0.750 0.426
Ge3 0.710 0.250 0.574
Ge4 0.827 0.750 0.082
Pd1 0.499 0.750 0.805
Pd2 0.501 0.250 0.195
```

Tell me which of them is the least stable. Sure, it is version w.

Version w
AgF3 | GGA-PBE | relaxed

SG: No. 2
theoretical density: 6.35 g cm⁻³

CIF file:
```
data_AgF3
_chemical_formula_sum 'Ag2 F6'
_symmetry_space_group_name_H-M 'P 1'
_symmetry_Int_Tables_number 1
_cell_length_a 3.919
_cell_length_b 4.143
_cell_length_c 6.014
_cell_angle_alpha 83.93
_cell_angle_beta 73.43
_cell_angle_gamma 67.20
loop_
_symmetry_equiv_pos_as_xyz
'x,y,z'
loop_
_atom_site_label
_atom_site_fract_x
_atom_site_fract_y
_atom_site_fract_z
Ag1 0.000 0.000 0.000
Ag2 0.000 0.500 0.500
F1 0.228 0.041 0.657
F2 0.232 0.274 0.100
F3 0.448 0.575 0.300
F4 0.552 0.425 0.700
F5 0.768 0.726 0.900
F6 0.772 0.959 0.343
```

Version x
AgF3 | GGA-PBE | relaxed

SG: No. 204
theoretical density: 5.00 g cm⁻³

CIF file:
```
data_AgF3
_chemical_formula_sum 'Ag4 F12'
_symmetry_space_group_name_H-M 'P 1'
_symmetry_Int_Tables_number 1
_cell_length_a 6.577
_cell_length_b 6.577
_cell_length_c 6.577
_cell_angle_alpha 109.47
_cell_angle_beta 109.47
_cell_angle_gamma 109.47
loop_
_symmetry_equiv_pos_as_xyz
'x,y,z'
loop_
_atom_site_label
_atom_site_fract_x
_atom_site_fract_y
_atom_site_fract_z
Ag1 0.000 0.000 0.500
Ag2 0.000 0.500 0.000
Ag3 0.500 0.000 0.000
Ag4 0.500 0.500 0.500
F1 0.140 0.313 0.827
F2 0.173 0.486 0.313
F3 0.173 0.860 0.687
F4 0.313 0.173 0.486
F5 0.313 0.827 0.140
F6 0.486 0.313 0.173
F7 0.514 0.687 0.827
F8 0.687 0.173 0.860
F9 0.687 0.827 0.514
F10 0.827 0.140 0.313
F11 0.827 0.514 0.687
F12 0.860 0.687 0.173
```

Tell me which of them is the least stable. Sure, it is version w.

Version w
Dy2Al2O5 | GGA-PBE | relaxed

SG: No. 123
theoretical density: 7.93 g cm⁻³

CIF file:
```
data_Dy2Al2O5
_chemical_formula_sum 'Dy2 Al2 O5'
_symmetry_space_group_name_H-M 'P 1'
_symmetry_Int_Tables_number 1
_cell_length_a 3.706
_cell_length_b 3.706
_cell_length_c 6.995
_cell_angle_alpha 90.00
_cell_angle_beta 90.00
_cell_angle_gamma 90.00
loop_
_symmetry_equiv_pos_as_xyz
'x,y,z'
loop_
_atom_site_label
_atom_site_fract_x
_atom_site_fract_y
_atom_site_fract_z
Dy1 0.000 0.000 0.000
Dy2 0.000 0.000 0.500
Al1 0.500 0.500 0.232
Al2 0.500 0.500 0.768
O1 0.000 0.500 0.242
O2 0.000 0.500 0.758
O3 0.500 0.000 0.242
O4 0.500 0.000 0.758
O5 0.500 0.500 0.500
```

Version x
Dy2Al2O5 | GGA-PBE | relaxed

SG: No. 123
theoretical density: 5.99 g cm⁻³

CIF file:
```
data_Dy2Al2O5
_chemical_formula_sum 'Dy2 Al2 O5'
_symmetry_space_group_name_H-M 'P 1'
_symmetry_Int_Tables_number 1
_cell_length_a 3.784
_cell_length_b 3.784
_cell_length_c 8.888
_cell_angle_alpha 90.00
_cell_angle_beta 90.00
_cell_angle_gamma 90.00
loop_
_symmetry_equiv_pos_as_xyz
'x,y,z'
loop_
_atom_site_label
_atom_site_fract_x
_atom_site_fract_y
_atom_site_fract_z
Dy1 0.000 0.000 0.244
Dy2 0.000 0.000 0.756
Al1 0.500 0.500 0.000
Al2 0.500 0.500 0.500
O1 0.000 0.000 0.500
O2 0.000 0.500 0.134
O3 0.000 0.500 0.866
O4 0.500 0.000 0.134
O5 0.500 0.000 0.866
```

Tell me which of them is the least stable. Sure, it is version x.

Version w
Cu4Ag | GGA-PBE | relaxed

SG: No. 12
theoretical density: 9.23 g cm⁻³

CIF file:
```
data_Cu4Ag
_chemical_formula_sum 'Cu8 Ag2'
_symmetry_space_group_name_H-M 'P 1'
_symmetry_Int_Tables_number 1
_cell_length_a 9.065
_cell_length_b 9.065
_cell_length_c 5.430
_cell_angle_alpha 98.54
_cell_angle_beta 98.54
_cell_angle_gamma 17.18
loop_
_symmetry_equiv_pos_as_xyz
'x,y,z'
loop_
_atom_site_label
_atom_site_fract_x
_atom_site_fract_y
_atom_site_fract_z
Cu1 0.000 0.000 0.226
Cu2 0.000 0.000 0.774
Cu3 0.202 0.202 0.863
Cu4 0.206 0.206 0.342
Cu5 0.397 0.397 0.947
Cu6 0.603 0.603 0.053
Cu7 0.794 0.794 0.658
Cu8 0.798 0.798 0.137
Ag1 0.400 0.400 0.452
Ag2 0.600 0.600 0.548
```

Version x
Cu4Ag | GGA-PBE | relaxed

SG: No. 59
theoretical density: 9.18 g cm⁻³

CIF file:
```
data_Cu4Ag
_chemical_formula_sum 'Cu8 Ag2'
_symmetry_space_group_name_H-M 'P 1'
_symmetry_Int_Tables_number 1
_cell_length_a 2.708
_cell_length_b 3.495
_cell_length_c 13.833
_cell_angle_alpha 90.00
_cell_angle_beta 90.00
_cell_angle_gamma 90.00
loop_
_symmetry_equiv_pos_as_xyz
'x,y,z'
loop_
_atom_site_label
_atom_site_fract_x
_atom_site_fract_y
_atom_site_fract_z
Cu1 0.250 0.250 0.044
Cu2 0.250 0.250 0.270
Cu3 0.250 0.250 0.454
Cu4 0.250 0.250 0.639
Cu5 0.750 0.750 0.361
Cu6 0.750 0.750 0.546
Cu7 0.750 0.750 0.730
Cu8 0.750 0.750 0.956
Ag1 0.250 0.250 0.842
Ag2 0.750 0.750 0.158
```

Tell me which of them is the least stable. Sure, it is version w.